#i
VASP calculation (GGA-PBE) on a relaxed YCuS2Cl crystal.

Total magnetization in μB/cell: 0.0
Density of states at the Fermi level in states/eV per atom: 0.15

a = 4.6658 Å, b = 4.6658 Å, c = 4.4888 Å
α = 90.00°, β = 90.00°, γ = 90.00°
With the nearest neighbours (Å) after each atom.
Sites, in units of the cell vectors:
Y  0.5000  0.5000  0.5000  8 S 3.24, 4 Cl 3.30
S  0.0000  0.5000  0.0000  2 Cu 2.33
S  0.5000  0.0000  0.0000  2 Cu 2.33
Cu  0.0000  0.0000  0.0000  2 Cl 2.24, 4 S 2.33
Cl  0.0000  0.0000  0.5000  2 Cu 2.24

#ii
VASP calculation (GGA-PBE) on a relaxed YCuS2Cl crystal.

Total magnetization in μB/cell: 0.0
Density of states at the Fermi level in states/eV per atom: 1.58

a = 5.2573 Å, b = 5.2573 Å, c = 5.2001 Å
α = 90.00°, β = 90.00°, γ = 90.00°
With the nearest neighbours (Å) after each atom.
Sites, in units of the cell vectors:
Y  0.0000  0.0000  0.0000  2 Cl 2.60, 4 S 2.63
S  0.0000  0.5000  0.0000  2 Y 2.63
S  0.5000  0.0000  0.0000  2 Y 2.63
Cu  0.5000  0.5000  0.5000  8 S 3.70, 4 Cl 3.72
Cl  0.0000  0.0000  0.5000  2 Y 2.60

#i has the most favorable energy; the next structure is 348 meV/atom above.

#i
VASP calculation (GGA-PBE) on a relaxed YCuSCl2 crystal.

Total magnetization in μB/cell: 0.2

a = 5.2000 Å, b = 5.2000 Å, c = 5.3453 Å
α = 90.00°, β = 90.00°, γ = 90.00°
With the nearest neighbours (Å) after each atom.
Sites, in units of the cell vectors:
Y  0.0000  0.0000  0.0000  4 Cl 2.60, 2 S 2.67
S  0.0000  0.0000  0.5000  2 Y 2.67
Cu  0.5000  0.5000  0.5000  4 S 3.68, 8 Cl 3.73
Cl  0.0000  0.5000  0.0000  2 Y 2.60
Cl  0.5000  0.0000  0.0000  2 Y 2.60

#ii
VASP calculation (GGA-PBE) on a relaxed YCuSCl2 crystal.

Total magnetization in μB/cell: 0.0
Density of states at the Fermi level in states/eV per atom: 0.38

a = 4.5519 Å, b = 4.5519 Å, c = 4.9597 Å
α = 90.00°, β = 90.00°, γ = 90.00°
With the nearest neighbours (Å) after each atom.
Sites, in units of the cell vectors:
Y  0.5000  0.5000  0.5000  4 S 3.22, 8 Cl 3.37
S  0.0000  0.0000  0.5000  2 Cu 2.48
Cu  0.0000  0.0000  0.0000  4 Cl 2.28, 2 S 2.48
Cl  0.0000  0.5000  0.0000  2 Cu 2.28
Cl  0.5000  0.0000  0.0000  2 Cu 2.28

#i has the most favorable energy; the next structure is 73 meV/atom above.

#i
VASP calculation (GGA-PBE) on a relaxed ZrCuS2Cl crystal.

Total magnetization in μB/cell: 0.9
Density of states at the Fermi level in states/eV per atom: 0.78

a = 4.5975 Å, b = 4.5975 Å, c = 4.4326 Å
α = 90.00°, β = 90.00°, γ = 90.00°
With the nearest neighbours (Å) after each atom.
Sites, in units of the cell vectors:
S  0.0000  0.5000  0.0000  2 Cu 2.30
S  0.5000  0.0000  0.0000  2 Cu 2.30
Cu  0.0000  0.0000  0.0000  2 Cl 2.22, 4 S 2.30
Zr  0.5000  0.5000  0.5000  8 S 3.19, 4 Cl 3.25
Cl  0.0000  0.0000  0.5000  2 Cu 2.22

#ii
VASP calculation (GGA-PBE) on a relaxed ZrCuS2Cl crystal.

Total magnetization in μB/cell: 0.0
Density of states at the Fermi level in states/eV per atom: 0.19

a = 4.9960 Å, b = 4.9960 Å, c = 5.0006 Å
α = 90.00°, β = 90.00°, γ = 90.00°
With the nearest neighbours (Å) after each atom.
Sites, in units of the cell vectors:
S  0.0000  0.5000  0.0000  2 Zr 2.50
S  0.5000  0.0000  0.0000  2 Zr 2.50
Cu  0.5000  0.5000  0.5000  4 Cl 3.53, 8 S 3.53
Zr  0.0000  0.0000  0.0000  4 S 2.50, 2 Cl 2.50
Cl  0.0000  0.0000  0.5000  2 Zr 2.50

#ii has the most favorable energy; the next structure is 347 meV/atom above.

#i
VASP calculation (GGA-PBE) on a relaxed Cu2SbCl crystal.

Total magnetization in μB/cell: 0.0
Density of states at the Fermi level in states/eV per atom: 0.45

a = 3.1915 Å, b = 3.1928 Å, c = 7.1198 Å
α = 90.00°, β = 90.00°, γ = 90.00°
With the nearest neighbours (Å) after each atom.
Sites, in units of the cell vectors:
Sb  0.5000  0.5000  0.2500  8 Cu 2.87, 4 Sb 3.19
Cu  0.0000  0.0000  0.0009  4 Sb 2.87, 4 Cl 2.88, 4 Cu 3.19
Cu  0.0000  0.0000  0.4991  4 Sb 2.87, 4 Cl 2.88, 4 Cu 3.19
Cl  0.5000  0.5000  0.7500  8 Cu 2.88, 4 Cl 3.19

#ii
VASP calculation (GGA-PBE) on a relaxed Cu2SbCl crystal.

Total magnetization in μB/cell: 0.0
Density of states at the Fermi level in states/eV per atom: 0.38

a = 3.7246 Å, b = 3.7246 Å, c = 7.8440 Å
α = 66.42°, β = 66.42°, γ = 53.54°
With the nearest neighbours (Å) after each atom.
Sites, in units of the cell vectors:
Sb  0.7500  0.7500  0.7500  6 Cu 2.68-2.69
Cu  0.9338  0.9338  0.9917  2 Cl 2.49, 3 Sb 2.68-2.69
Cu  0.5662  0.5662  0.5083  2 Cl 2.49, 3 Sb 2.68-2.69
Cl  0.2500  0.2500  0.2500  4 Cu 2.49

#iii
VASP calculation (GGA-PBE) on a relaxed Cu2SbCl crystal.

Total magnetization in μB/cell: 0.0
Density of states at the Fermi level in states/eV per atom: 0.19

a = 5.9913 Å, b = 5.9913 Å, c = 6.6298 Å
α = 63.14°, β = 63.14°, γ = 90.00°
With the nearest neighbours (Å) after each atom.
Sites, in units of the cell vectors:
Sb  0.0000  0.0000  0.0000  4 Cu 2.53
Sb  0.7500  0.2500  0.5000  4 Cu 2.53
Cu  0.6088  0.1250  0.2500  2 Cl 2.41, 2 Sb 2.53
Cu  0.1412  0.6250  0.2500  2 Cl 2.41, 2 Sb 2.53
Cu  0.3750  0.3912  0.7500  2 Cl 2.41, 2 Sb 2.53
Cu  0.8750  0.8588  0.7500  2 Cl 2.41, 2 Sb 2.53
Cl  0.5000  0.5000  0.0000  4 Cu 2.41
Cl  0.2500  0.7500  0.5000  4 Cu 2.41

#ii has the most favorable energy; the next structure is 72 meV/atom above.

#i
VASP calculation (GGA-PBE) on a relaxed Cu2Sb2Cl crystal.

Total magnetization in μB/cell: 0.0
Density of states at the Fermi level in states/eV per atom: 0.39

a = 7.9904 Å, b = 7.9904 Å, c = 3.1543 Å
α = 90.00°, β = 90.00°, γ = 90.00°
With the nearest neighbours (Å) after each atom.
Sites, in units of the cell vectors:
Sb  0.1472  0.6472  0.5000  6 Cu 2.82-2.83, 2 Sb 3.15
Sb  0.6472  0.8528  0.5000  6 Cu 2.82-2.83, 2 Sb 3.15
Sb  0.8528  0.3528  0.5000  6 Cu 2.82-2.83, 2 Sb 3.15
Sb  0.3528  0.1472  0.5000  6 Cu 2.82-2.83, 2 Sb 3.15
Cu  0.3538  0.8538  0.0000  6 Sb 2.82-2.83, 2 Cl 3.06, 2 Cu 3.15
Cu  0.8538  0.6462  0.0000  6 Sb 2.82-2.83, 2 Cl 3.06, 2 Cu 3.15
Cu  0.6462  0.1462  0.0000  6 Sb 2.82-2.83, 2 Cl 3.06, 2 Cu 3.15
Cu  0.1462  0.3538  0.0000  6 Sb 2.82-2.83, 2 Cl 3.06, 2 Cu 3.15
Cl  0.0000  0.0000  0.0000  4 Cu 3.06, 2 Cl 3.15
Cl  0.5000  0.5000  0.0000  4 Cu 3.06, 2 Cl 3.15

#ii
VASP calculation (GGA-PBE) on a relaxed Cu2Sb2Cl crystal.

Total magnetization in μB/cell: 0.0
Density of states at the Fermi level in states/eV per atom: 0.50

a = 5.3607 Å, b = 5.3607 Å, c = 5.2430 Å
α = 59.25°, β = 59.25°, γ = 90.00°
With the nearest neighbours (Å) after each atom.
Sites, in units of the cell vectors:
Sb  0.7500  0.2500  0.5000  4 Cu 2.75
Sb  0.2500  0.7500  0.5000  4 Cu 2.75
Cu  0.3348  0.3348  0.3305  1 Cu 2.39, 1 Cl 2.43
Cu  0.6652  0.6652  0.6695  1 Cu 2.39, 1 Cl 2.43
Cl  0.0000  0.0000  0.0000  2 Cu 2.43

#i has the most favorable energy; the next structure is 60 meV/atom above.